The following is a DFT calculation (PBE) of CePuIrPb after structural relaxation.

Cell and atoms, written as CIF:
```
data_CePuIrPb
_cell_length_a 3.411
_cell_length_b 3.411
_cell_length_c 8.574
_cell_angle_alpha 90.00
_cell_angle_beta 90.00
_cell_angle_gamma 90.00
_space_group_name_H-M_alt 'P 4 m m'
_space_group_IT_number 99
loop_
_space_group_symop_operation_xyz
'x,y,z'
'-y,x,z'
'-x,-y,z'
'y,-x,z'
'-x,y,z'
'y,x,z'
'x,-y,z'
'-y,-x,z'
loop_
_atom_site_label
_atom_site_type_symbol
_atom_site_fract_x
_atom_site_fract_y
_atom_site_fract_z
Ce1 Ce 0.000 0.000 0.000
Pu1 Pu 0.000 0.000 0.593
Ir1 Ir 0.500 0.500 0.799
Pb1 Pb 0.500 0.500 0.299
```

## Properties
- electronic total energy (eV/atom) = -8.6497

=====

The following is a DFT calculation (PBE) of Ce5Ir2Pd2 after structural relaxation.

Cell and atoms, written as CIF:
```
data_Ce5Ir2Pd2
_cell_length_a 17.916
_cell_length_b 6.584
_cell_length_c 7.347
_cell_angle_alpha 90.00
_cell_angle_beta 90.00
_cell_angle_gamma 90.00
_space_group_name_H-M_alt 'I m a 2'
_space_group_IT_number 46
loop_
_space_group_symop_operation_xyz
'x,y,z'
'-x,-y,z'
'-x+1/2,y,z'
'x+1/2,-y,z'
'x+1/2,y+1/2,z+1/2'
'-x+1/2,-y+1/2,z+1/2'
'-x,y+1/2,z+1/2'
'x,-y+1/2,z+1/2'
loop_
_atom_site_label
_atom_site_type_symbol
_atom_site_fract_x
_atom_site_fract_y
_atom_site_fract_z
Ce1 Ce 0.074 0.173 0.000
Ce2 Ce 0.158 0.653 0.867
Ce3 Ce 0.250 0.140 0.720
Ir1 Ir 0.000 0.000 0.296
Ir2 Ir 0.250 0.529 0.558
Pd1 Pd 0.067 0.599 0.173
```

## Properties
- electronic total energy (eV/atom) = -7.0040

=====

The following is a DFT calculation (PBE) of Ce3Ir2Pd3 after structural relaxation.

Cell and atoms, written as CIF:
```
data_Ce3Ir2Pd3
_cell_length_a 7.1425
_cell_length_b 7.1425
_cell_length_c 3.7359
_cell_angle_alpha 90.00
_cell_angle_beta 90.00
_cell_angle_gamma 120.00
_space_group_name_H-M_alt 'P -6 2 m'
_space_group_IT_number 189
_space_group_name_Hall 'P -6 -2'
loop_
_atom_site_label
_atom_site_type_symbol
_atom_site_fract_x
_atom_site_fract_y
_atom_site_fract_z
Ce1 Ce 0.0000 0.3794 0.0000
Ir1 Ir 0.3333 0.6667 0.5000
Pd1 Pd 0.0000 0.7730 0.5000
```

## Properties
- electronic total energy (eV/atom) = -7.1321